! Ac5Si2Sn5 | the Alexandria database | PBE-GGA | relaxed; values from VASP
&SYSTEM
  ibrav = 0, nat = 12, ntyp = 3
/
ATOMIC_SPECIES
Sn 118.71 Sn.upf
Si 28.09 Si.upf
Ac 227.00 Ac.upf
ATOMIC_POSITIONS angstrom
Sn -1.972 -5.113 1.271
Si -0.146 -11.137 0.251
Ac 2.964 -10.098 -0.706
Sn -4.258 -9.133 0.088
Ac -4.869 -5.645 -0.481
Sn 0.068 -10.630 -2.457
Ac -0.952 -7.872 -0.593
Ac 1.056 -3.928 0.399
Si -1.758 -4.606 -1.438
Sn 2.353 -6.610 -1.275
Ac -2.960 -11.815 -1.586
Sn 0.000 0.000 0.000
CELL_PARAMETERS angstrom
-1.522 -2.847 3.381
-6.290 -4.740 -3.590
5.907 -8.156 -0.978
! uncorrected energy: -4.881 eV per atom
! total magnetic moment: 0.0 μB/f.u.
! DOS(E_F): 6.8 states/eV per cell
! uncorrected formation energy: -0.5971 eV/atom
! symmetry: No. 12
! V: 384 Å³/f.u.


! Ac2Si2Sn3 | the Alexandria database | PBE-GGA | relaxed; values from VASP
&SYSTEM
  ibrav = 0, nat = 7, ntyp = 3
/
ATOMIC_SPECIES
Sn 118.71 Sn.upf
Si 28.09 Si.upf
Ac 227.00 Ac.upf
ATOMIC_POSITIONS angstrom
Sn 0.000 0.000 0.000
Sn -0.861 -0.040 6.498
Sn -3.654 -1.075 1.352
Si -4.618 0.342 3.615
Si 0.103 -1.457 4.235
Ac -3.166 -2.226 4.889
Ac -1.349 1.110 2.961
CELL_PARAMETERS angstrom
-0.682 4.117 1.433
-5.573 -3.155 -0.378
1.739 -2.077 6.795
! uncorrected energy: -4.900 eV per atom
! total magnetic moment: 0.0 μB/f.u.
! DOS(E_F): 3.2 states/eV per cell
! uncorrected formation energy: -0.4608 eV/atom
! symmetry: No. 12
! V: 193 Å³/f.u.


! Ac4SiSn2 | the Alexandria database | PBE-GGA | relaxed; values from VASP
&SYSTEM
  ibrav = 0, nat = 7, ntyp = 3
/
ATOMIC_SPECIES
Sn 118.71 Sn.upf
Ac 227.00 Ac.upf
Si 28.09 Si.upf
ATOMIC_POSITIONS angstrom
Sn -1.334 -4.406 2.052
Ac -1.504 3.059 5.011
Ac 1.199 -6.459 0.761
Si 0.000 0.000 0.000
Ac 1.421 -2.645 3.248
Sn 1.029 1.007 3.720
Ac -1.726 -0.754 2.524
CELL_PARAMETERS angstrom
-4.699 -0.697 1.489
1.357 -9.424 -0.128
3.038 6.721 4.412
! uncorrected energy: -4.862 eV per atom
! total magnetic moment: 0.9 μB/f.u.
! DOS(E_F): 5.5 states/eV per cell
! uncorrected formation energy: -0.5959 eV/atom
! symmetry: No. 12
! V: 252 Å³/f.u.


! AcSiSn | the Alexandria database | PBE-GGA | relaxed; values from VASP
&SYSTEM
  ibrav = 0, nat = 6, ntyp = 3
/
ATOMIC_SPECIES
Si 28.09 Si.upf
Sn 118.71 Sn.upf
Ac 227.00 Ac.upf
ATOMIC_POSITIONS angstrom
Si -7.122 -3.067 5.846
Si -2.188 -0.017 -1.120
Sn -4.961 -0.887 3.767
Sn -4.349 -2.197 0.960
Ac -6.445 -4.312 2.977
Ac -2.865 1.228 1.750
CELL_PARAMETERS angstrom
-2.320 3.149 0.891
-2.449 -0.836 -3.422
-4.541 -5.398 7.258
! energy above the lowest structure with this stoichiometry: 0.0224 eV/atom
! uncorrected energy: -5.006 eV per atom
! total magnetic moment: 0.0 μB/f.u.
! DOS(E_F): 4.4 states/eV per cell
! uncorrected formation energy: -0.4941 eV/atom
! symmetry: No. 63
! V: 85 Å³/f.u.


! Ac6SiSn3 | the Alexandria database | PBE-GGA | relaxed; values from VASP
&SYSTEM
  ibrav = 0, nat = 20, ntyp = 3
/
ATOMIC_SPECIES
Ac 227.00 Ac.upf
Sn 118.71 Sn.upf
Si 28.09 Si.upf
ATOMIC_POSITIONS angstrom
Ac 5.590 -1.005 8.387
Ac -1.126 8.262 5.751
Sn 2.128 7.448 5.750
Ac 6.777 3.043 4.538
Sn 7.400 5.698 2.416
Ac 8.823 -0.396 2.291
Sn 0.297 2.168 5.626
Ac 4.322 6.872 3.143
Ac 8.284 5.771 -0.818
Sn 5.536 2.249 7.574
Sn 2.161 5.617 0.469
Si 3.848 3.933 4.021
Ac -0.588 2.095 8.861
Ac 0.920 4.822 3.504
Sn 5.569 0.418 2.292
Ac 2.896 4.386 6.940
Ac 4.801 3.480 1.102
Si 0.000 0.000 0.000
Ac 3.375 0.993 4.899
Ac 2.107 8.870 -0.345
CELL_PARAMETERS angstrom
9.539 -0.714 -0.730
-0.921 9.521 -0.730
-0.921 -0.941 9.503
! uncorrected energy: -4.645 eV per atom
! total magnetic moment: 0.0 μB/f.u.
! DOS(E_F): 15.2 states/eV per cell
! uncorrected formation energy: -0.4371 eV/atom
! symmetry: No. 148
! V: 421 Å³/f.u.


! Ac5SiSn | the Alexandria database | PBE-GGA | relaxed; values from VASP
&SYSTEM
  ibrav = 0, nat = 14, ntyp = 3
/
ATOMIC_SPECIES
Ac 227.00 Ac.upf
Si 28.09 Si.upf
Sn 118.71 Sn.upf
ATOMIC_POSITIONS angstrom
Ac 9.238 8.123 7.109
Si 0.000 0.000 0.000
Ac 8.441 4.769 5.004
Ac 5.501 8.257 8.541
Sn 7.687 5.221 8.541
Si 1.667 1.200 5.898
Ac 7.909 1.397 2.643
Ac 8.867 7.692 10.902
Sn 5.723 4.433 2.643
Ac 4.443 4.670 9.974
Ac 8.967 4.984 1.211
Ac 4.542 1.962 0.282
Ac 4.171 1.531 4.075
Ac 4.969 4.885 6.180
CELL_PARAMETERS angstrom
7.186 0.642 -0.306
2.889 6.611 -0.306
3.334 2.400 11.797
! uncorrected energy: -4.495 eV per atom
! total magnetic moment: 0.0 μB/f.u.
! DOS(E_F): 16.6 states/eV per cell
! uncorrected formation energy: -0.2139 eV/atom
! symmetry: No. 15
! V: 274 Å³/f.u.


! AcSiSn | the Alexandria database | PBE-GGA | relaxed; values from VASP
&SYSTEM
  ibrav = 0, nat = 6, ntyp = 3
/
ATOMIC_SPECIES
Sn 118.71 Sn.upf
Si 28.09 Si.upf
Ac 227.00 Ac.upf
ATOMIC_POSITIONS angstrom
Sn -5.217 -0.423 -2.388
Si -4.041 2.003 -2.471
Ac -1.576 0.087 -1.799
Ac -4.446 -2.968 0.020
Sn -0.805 -2.459 0.609
Si -1.981 -4.885 0.693
CELL_PARAMETERS angstrom
-0.722 4.127 0.822
-5.704 0.481 -7.379
0.404 -7.489 4.778
! energy above the lowest structure with this stoichiometry: 0.0335 eV/atom
! uncorrected energy: -4.994 eV per atom
! total magnetic moment: 0.0 μB/f.u.
! DOS(E_F): 3.5 states/eV per cell
! uncorrected formation energy: -0.4830 eV/atom
! symmetry: No. 2
! V: 87 Å³/f.u.


! Ac4Si2Sn | the Alexandria database | PBE-GGA | relaxed; values from VASP
&SYSTEM
  ibrav = 0, nat = 7, ntyp = 3
/
ATOMIC_SPECIES
Ac 227.00 Ac.upf
Si 28.09 Si.upf
Sn 118.71 Sn.upf
ATOMIC_POSITIONS angstrom
Ac 7.723 4.459 6.518
Si 7.723 4.459 3.159
Sn 0.000 0.000 0.000
Si 2.574 1.486 7.660
Ac 5.149 2.973 1.642
Ac 5.149 2.973 9.178
Ac 2.574 1.486 4.301
CELL_PARAMETERS angstrom
5.149 0.000 0.000
2.574 4.459 0.000
2.574 1.486 10.819
! uncorrected energy: -4.898 eV per atom
! total magnetic moment: 0.0 μB/f.u.
! DOS(E_F): 3.8 states/eV per cell
! uncorrected formation energy: -0.4289 eV/atom
! symmetry: No. 166
! V: 248 Å³/f.u.


! Ac4SiSn | the Alexandria database | PBE-GGA | relaxed; values from VASP
&SYSTEM
  ibrav = 0, nat = 6, ntyp = 3
/
ATOMIC_SPECIES
Si 28.09 Si.upf
Ac 227.00 Ac.upf
Sn 118.71 Sn.upf
ATOMIC_POSITIONS angstrom
Si 0.000 0.000 0.000
Ac -8.804 1.049 -5.031
Ac -4.566 2.966 -8.372
Ac -1.916 2.159 -5.689
Ac -6.154 0.243 -2.348
Sn -5.360 1.604 -5.360
CELL_PARAMETERS angstrom
-0.996 4.238 -3.287
-0.392 -0.760 -5.388
-9.332 -0.270 -2.045
! uncorrected energy: -4.647 eV per atom
! total magnetic moment: 0.0 μB/f.u.
! DOS(E_F): 7.6 states/eV per cell
! uncorrected formation energy: -0.3367 eV/atom
! symmetry: No. 166
! V: 233 Å³/f.u.


! Ac3SiSn | the Alexandria database | PBE-GGA | relaxed; values from VASP
&SYSTEM
  ibrav = 0, nat = 5, ntyp = 3
/
ATOMIC_SPECIES
Sn 118.71 Sn.upf
Ac 227.00 Ac.upf
Si 28.09 Si.upf
ATOMIC_POSITIONS angstrom
Sn -0.682 -0.661 5.026
Ac 2.137 -0.609 1.945
Si 0.000 0.000 0.000
Ac -1.710 -2.069 1.231
Ac -1.109 2.017 1.850
CELL_PARAMETERS angstrom
-2.218 4.034 3.700
-3.420 -4.138 2.462
4.274 -1.218 3.890
! energy above the lowest structure with this stoichiometry: 0.2696 eV/atom
! uncorrected energy: -4.605 eV per atom
! total magnetic moment: 0.0 μB/f.u.
! DOS(E_F): 3.0 states/eV per cell
! uncorrected formation energy: -0.2549 eV/atom
! symmetry: No. 221
! V: 206 Å³/f.u.


! Ac2SiSn | the Alexandria database | PBE-GGA | relaxed; values from VASP
&SYSTEM
  ibrav = 0, nat = 4, ntyp = 3
/
ATOMIC_SPECIES
Ac 227.00 Ac.upf
Sn 118.71 Sn.upf
Si 28.09 Si.upf
ATOMIC_POSITIONS angstrom
Ac 0.000 0.000 1.997
Ac 0.000 0.000 6.753
Sn 1.887 1.887 4.375
Si 1.887 1.887 0.000
CELL_PARAMETERS angstrom
3.774 0.000 0.000
0.000 3.774 0.000
0.000 0.000 8.750
! uncorrected energy: -4.883 eV per atom
! total magnetic moment: 0.0 μB/f.u.
! DOS(E_F): 4.0 states/eV per cell
! uncorrected formation energy: -0.4726 eV/atom
! symmetry: No. 123
! V: 125 Å³/f.u.


! AcSiSn | the Alexandria database | PBE-GGA | relaxed; values from VASP
&SYSTEM
  ibrav = 0, nat = 3, ntyp = 3
/
ATOMIC_SPECIES
Si 28.09 Si.upf
Ac 227.00 Ac.upf
Sn 118.71 Sn.upf
ATOMIC_POSITIONS angstrom
Si 2.540 1.466 1.037
Ac 5.079 2.932 2.074
Sn 0.000 0.000 0.000
CELL_PARAMETERS angstrom
5.079 0.000 0.000
2.540 4.399 0.000
2.540 1.466 4.147
! energy above the lowest structure with this stoichiometry: 0.3441 eV/atom
! uncorrected energy: -4.684 eV per atom
! total magnetic moment: 0.0 μB/f.u.
! DOS(E_F): 3.2 states/eV per cell
! uncorrected formation energy: -0.1723 eV/atom
! symmetry: No. 216
! V: 93 Å³/f.u.